1.
# ZnCuHPt2, relaxed, DFT GGA-PBE
data_ZnCuHPt2
_chemical_formula_sum 'Zn1 Cu1 H1 Pt2'
_cell_length_a 3.999
_cell_length_b 3.999
_cell_length_c 3.766
_cell_angle_alpha 90.00
_cell_angle_beta 90.00
_cell_angle_gamma 90.00
_symmetry_space_group_name_H-M 'P 1'
_symmetry_Int_Tables_number 1
loop_
_symmetry_equiv_pos_as_xyz
'x,y,z'
loop_
_atom_site_label
_atom_site_fract_x
_atom_site_fract_y
_atom_site_fract_z
_atom_site_occupancy
Zn1 0.000 0.000 0.000 1
Cu1 0.500 0.500 0.000 1
H1 0.500 0.500 0.500 1
Pt1 0.000 0.500 0.500 1
Pt2 0.500 0.000 0.500 1
# - total energy (eV/cell) = -22.08
# - distance to the lowest polymorph of the same formula (eV/atom) = 0.0000

=====

2.
# ZnCuHPt2, relaxed, DFT GGA-PBE
data_ZnCuHPt2
_chemical_formula_sum 'Zn1 Cu1 H1 Pt2'
_cell_length_a 3.950
_cell_length_b 3.950
_cell_length_c 3.895
_cell_angle_alpha 90.00
_cell_angle_beta 90.00
_cell_angle_gamma 90.00
_symmetry_space_group_name_H-M 'P 1'
_symmetry_Int_Tables_number 1
loop_
_symmetry_equiv_pos_as_xyz
'x,y,z'
loop_
_atom_site_label
_atom_site_fract_x
_atom_site_fract_y
_atom_site_fract_z
_atom_site_occupancy
Zn1 0.000 0.000 0.000 1
Cu1 0.500 0.500 0.000 1
H1 0.000 0.000 0.500 1
Pt1 0.000 0.500 0.500 1
Pt2 0.500 0.000 0.500 1
# - total energy (eV/cell) = -21.57
# - distance to the lowest polymorph of the same formula (eV/atom) = 0.1003

=====

3.
# ZnCu2HPt, relaxed, DFT GGA-PBE
data_ZnCu2HPt
_chemical_formula_sum 'Zn1 Cu2 H1 Pt1'
_cell_length_a 3.716
_cell_length_b 3.716
_cell_length_c 4.067
_cell_angle_alpha 90.00
_cell_angle_beta 90.00
_cell_angle_gamma 90.00
_symmetry_space_group_name_H-M 'P 1'
_symmetry_Int_Tables_number 1
loop_
_symmetry_equiv_pos_as_xyz
'x,y,z'
loop_
_atom_site_label
_atom_site_fract_x
_atom_site_fract_y
_atom_site_fract_z
_atom_site_occupancy
Zn1 0.000 0.000 0.000 1
Cu1 0.000 0.500 0.500 1
Cu2 0.500 0.000 0.500 1
H1 0.000 0.000 0.500 1
Pt1 0.500 0.500 0.000 1
# - total energy (eV/cell) = -19.27
# - distance to the lowest polymorph of the same formula (eV/atom) = 0.0460

=====

4.
# ZnCu2HPt, relaxed, DFT GGA-PBE
data_ZnCu2HPt
_chemical_formula_sum 'Zn1 Cu2 H1 Pt1'
_cell_length_a 3.846
_cell_length_b 3.846
_cell_length_c 3.843
_cell_angle_alpha 90.00
_cell_angle_beta 90.00
_cell_angle_gamma 90.00
_symmetry_space_group_name_H-M 'P 1'
_symmetry_Int_Tables_number 1
loop_
_symmetry_equiv_pos_as_xyz
'x,y,z'
loop_
_atom_site_label
_atom_site_fract_x
_atom_site_fract_y
_atom_site_fract_z
_atom_site_occupancy
Zn1 0.000 0.000 0.000 1
Cu1 0.000 0.500 0.500 1
Cu2 0.500 0.000 0.500 1
H1 0.500 0.500 0.500 1
Pt1 0.500 0.500 0.000 1
# - total energy (eV/cell) = -19.50
# - distance to the lowest polymorph of the same formula (eV/atom) = 0.0000

=====

5.
# ZrCu2HPt, relaxed, DFT GGA-PBE
data_ZrCu2HPt
_chemical_formula_sum 'Zr1 Cu2 H1 Pt1'
_cell_length_a 3.916
_cell_length_b 3.916
_cell_length_c 4.239
_cell_angle_alpha 90.00
_cell_angle_beta 90.00
_cell_angle_gamma 90.00
_symmetry_space_group_name_H-M 'P 1'
_symmetry_Int_Tables_number 1
loop_
_symmetry_equiv_pos_as_xyz
'x,y,z'
loop_
_atom_site_label
_atom_site_fract_x
_atom_site_fract_y
_atom_site_fract_z
_atom_site_occupancy
Zr1 0.000 0.000 0.000 1
Cu1 0.000 0.500 0.500 1
Cu2 0.500 0.000 0.500 1
H1 0.000 0.000 0.500 1
Pt1 0.500 0.500 0.000 1
# - total energy (eV/cell) = -27.53

=====

6.
# PuCuH2, relaxed, DFT GGA-PBE
data_PuCuH2
_chemical_formula_sum 'Pu3 Cu3 H6'
_cell_length_a 2.876
_cell_length_b 2.876
_cell_length_c 18.066
_cell_angle_alpha 90.00
_cell_angle_beta 90.00
_cell_angle_gamma 120.00
_symmetry_space_group_name_H-M 'P 1'
_symmetry_Int_Tables_number 1
loop_
_symmetry_equiv_pos_as_xyz
'x,y,z'
loop_
_atom_site_label
_atom_site_fract_x
_atom_site_fract_y
_atom_site_fract_z
_atom_site_occupancy
Pu1 0.000 0.000 0.000 1
Pu2 0.333 0.667 0.667 1
Pu3 0.667 0.333 0.333 1
Cu1 0.000 0.000 0.500 1
Cu2 0.333 0.667 0.167 1
Cu3 0.667 0.333 0.833 1
H1 0.000 0.000 0.122 1
H2 0.000 0.000 0.878 1
H3 0.333 0.667 0.545 1
H4 0.333 0.667 0.788 1
H5 0.667 0.333 0.212 1
H6 0.667 0.333 0.455 1
# - total energy (eV/cell) = -72.54

=====

7.
# Pu2CuH, relaxed, DFT GGA-PBE
data_Pu2CuH
_chemical_formula_sum 'Pu2 Cu1 H1'
_cell_length_a 3.068
_cell_length_b 3.068
_cell_length_c 7.298
_cell_angle_alpha 90.00
_cell_angle_beta 90.00
_cell_angle_gamma 90.00
_symmetry_space_group_name_H-M 'P 1'
_symmetry_Int_Tables_number 1
loop_
_symmetry_equiv_pos_as_xyz
'x,y,z'
loop_
_atom_site_label
_atom_site_fract_x
_atom_site_fract_y
_atom_site_fract_z
_atom_site_occupancy
Pu1 0.000 0.000 0.217 1
Pu2 0.000 0.000 0.783 1
Cu1 0.500 0.500 0.500 1
H1 0.500 0.500 0.000 1
# - total energy (eV/cell) = -35.75
# - distance to the lowest polymorph of the same formula (eV/atom) = 0.0000

=====

8.
# Pu2CuH6, relaxed, DFT GGA-PBE
data_Pu2CuH6
_chemical_formula_sum 'Pu2 Cu1 H6'
_cell_length_a 7.049
_cell_length_b 7.049
_cell_length_c 7.049
_cell_angle_alpha 150.54
_cell_angle_beta 150.54
_cell_angle_gamma 42.14
_symmetry_space_group_name_H-M 'P 1'
_symmetry_Int_Tables_number 1
loop_
_symmetry_equiv_pos_as_xyz
'x,y,z'
loop_
_atom_site_label
_atom_site_fract_x
_atom_site_fract_y
_atom_site_fract_z
_atom_site_occupancy
Pu1 0.143 0.143 0.000 1
Pu2 0.857 0.857 0.000 1
Cu1 0.500 0.500 0.000 1
H1 0.000 0.500 0.500 1
H2 0.250 0.750 0.500 1
H3 0.367 0.367 0.000 1
H4 0.500 0.000 0.500 1
H5 0.633 0.633 0.000 1
H6 0.750 0.250 0.500 1
# - total energy (eV/cell) = -55.56

=====

9.
# Pu2CuH, relaxed, DFT GGA-PBE
data_Pu2CuH
_chemical_formula_sum 'Pu6 Cu3 H3'
_cell_length_a 2.635
_cell_length_b 2.635
_cell_length_c 27.773
_cell_angle_alpha 90.00
_cell_angle_beta 90.00
_cell_angle_gamma 120.00
_symmetry_space_group_name_H-M 'P 1'
_symmetry_Int_Tables_number 1
loop_
_symmetry_equiv_pos_as_xyz
'x,y,z'
loop_
_atom_site_label
_atom_site_fract_x
_atom_site_fract_y
_atom_site_fract_z
_atom_site_occupancy
Pu1 0.000 0.000 0.105 1
Pu2 0.000 0.000 0.895 1
Pu3 0.333 0.667 0.561 1
Pu4 0.333 0.667 0.772 1
Pu5 0.667 0.333 0.228 1
Pu6 0.667 0.333 0.439 1
Cu1 0.000 0.000 0.000 1
Cu2 0.333 0.667 0.667 1
Cu3 0.667 0.333 0.333 1
H1 0.000 0.000 0.500 1
H2 0.333 0.667 0.167 1
H3 0.667 0.333 0.833 1
# - total energy (eV/cell) = -103.80
# - distance to the lowest polymorph of the same formula (eV/atom) = 0.2883

=====

10.
# Pu3CuH, relaxed, DFT GGA-PBE
data_Pu3CuH
_chemical_formula_sum 'Pu3 Cu1 H1'
_cell_length_a 4.685
_cell_length_b 4.685
_cell_length_c 4.685
_cell_angle_alpha 90.00
_cell_angle_beta 90.00
_cell_angle_gamma 90.00
_symmetry_space_group_name_H-M 'P 1'
_symmetry_Int_Tables_number 1
loop_
_symmetry_equiv_pos_as_xyz
'x,y,z'
loop_
_atom_site_label
_atom_site_fract_x
_atom_site_fract_y
_atom_site_fract_z
_atom_site_occupancy
Pu1 0.000 0.000 0.500 1
Pu2 0.000 0.500 0.000 1
Pu3 0.500 0.000 0.000 1
Cu1 0.500 0.500 0.500 1
H1 0.000 0.000 0.000 1
# - total energy (eV/cell) = -49.97

=====

11.
# PuCuH, relaxed, DFT GGA-PBE
data_PuCuH
_chemical_formula_sum 'Pu1 Cu1 H1'
_cell_length_a 2.701
_cell_length_b 2.701
_cell_length_c 5.511
_cell_angle_alpha 90.00
_cell_angle_beta 90.00
_cell_angle_gamma 120.00
_symmetry_space_group_name_H-M 'P 1'
_symmetry_Int_Tables_number 1
loop_
_symmetry_equiv_pos_as_xyz
'x,y,z'
loop_
_atom_site_label
_atom_site_fract_x
_atom_site_fract_y
_atom_site_fract_z
_atom_site_occupancy
Pu1 0.000 0.000 0.000 1
Cu1 0.333 0.667 0.516 1
H1 0.667 0.333 0.322 1
# - total energy (eV/cell) = -21.15

=====

12.
# Pu3Cu5H12, relaxed, DFT GGA-PBE
data_Pu3Cu5H12
_chemical_formula_sum 'Pu12 Cu20 H48'
_cell_length_a 10.115
_cell_length_b 10.115
_cell_length_c 10.115
_cell_angle_alpha 109.47
_cell_angle_beta 109.47
_cell_angle_gamma 109.47
_symmetry_space_group_name_H-M 'P 1'
_symmetry_Int_Tables_number 1
loop_
_symmetry_equiv_pos_as_xyz
'x,y,z'
loop_
_atom_site_label
_atom_site_fract_x
_atom_site_fract_y
_atom_site_fract_z
_atom_site_occupancy
Pu1 0.125 0.250 0.375 1
Pu2 0.125 0.375 0.750 1
Pu3 0.250 0.375 0.125 1
Pu4 0.250 0.875 0.625 1
Pu5 0.375 0.125 0.250 1
Pu6 0.375 0.750 0.125 1
Pu7 0.625 0.250 0.875 1
Pu8 0.625 0.875 0.750 1
Pu9 0.750 0.125 0.375 1
Pu10 0.750 0.625 0.875 1
Pu11 0.875 0.625 0.250 1
Pu12 0.875 0.750 0.625 1
Cu1 0.000 0.000 0.000 1
Cu2 0.000 0.000 0.500 1
Cu3 0.000 0.500 0.000 1
Cu4 0.000 0.500 0.500 1
Cu5 0.125 0.750 0.875 1
Cu6 0.125 0.875 0.250 1
Cu7 0.250 0.125 0.875 1
Cu8 0.250 0.625 0.375 1
Cu9 0.375 0.250 0.625 1
Cu10 0.375 0.625 0.750 1
Cu11 0.500 0.000 0.000 1
Cu12 0.500 0.000 0.500 1
Cu13 0.500 0.500 0.000 1
Cu14 0.500 0.500 0.500 1
Cu15 0.625 0.375 0.250 1
Cu16 0.625 0.750 0.375 1
Cu17 0.750 0.375 0.625 1
Cu18 0.750 0.875 0.125 1
Cu19 0.875 0.125 0.750 1
Cu20 0.875 0.250 0.125 1
H1 0.018 0.199 0.115 1
H2 0.018 0.319 0.903 1
H3 0.084 0.699 0.681 1
H4 0.084 0.885 0.403 1
H5 0.097 0.615 0.416 1
H6 0.097 0.982 0.681 1
H7 0.115 0.018 0.199 1
H8 0.115 0.597 0.916 1
H9 0.181 0.199 0.584 1
H10 0.181 0.482 0.597 1
H11 0.199 0.115 0.018 1
H12 0.199 0.584 0.181 1
H13 0.301 0.319 0.916 1
H14 0.301 0.482 0.385 1
H15 0.319 0.903 0.018 1
H16 0.319 0.916 0.301 1
H17 0.385 0.301 0.482 1
H18 0.385 0.584 0.903 1
H19 0.403 0.084 0.885 1
H20 0.403 0.819 0.518 1
H21 0.416 0.097 0.615 1
H22 0.416 0.819 0.801 1
H23 0.482 0.385 0.301 1
H24 0.482 0.597 0.181 1
H25 0.518 0.403 0.819 1
H26 0.518 0.615 0.699 1
H27 0.584 0.181 0.199 1
H28 0.584 0.903 0.385 1
H29 0.597 0.181 0.482 1
H30 0.597 0.916 0.115 1
H31 0.615 0.416 0.097 1
H32 0.615 0.699 0.518 1
H33 0.681 0.084 0.699 1
H34 0.681 0.097 0.982 1
H35 0.699 0.518 0.615 1
H36 0.699 0.681 0.084 1
H37 0.801 0.416 0.819 1
H38 0.801 0.885 0.982 1
H39 0.819 0.518 0.403 1
H40 0.819 0.801 0.416 1
H41 0.885 0.403 0.084 1
H42 0.885 0.982 0.801 1
H43 0.903 0.018 0.319 1
H44 0.903 0.385 0.584 1
H45 0.916 0.115 0.597 1
H46 0.916 0.301 0.319 1
H47 0.982 0.681 0.097 1
H48 0.982 0.801 0.885 1
# - total energy (eV/cell) = -420.41